! Zr2NbH3 | Alexandria via LeMat-Bulk | PBE | optimized geometry; values from VASP
&SYSTEM
  ibrav = 0, nat = 12, ntyp = 3
/
ATOMIC_SPECIES
Zr 91.22 Zr.upf
Nb 92.91 Nb.upf
H 1.01 H.upf
CELL_PARAMETERS angstrom
5.202 -2.542 0.000
5.202 2.542 0.000
-3.097 0.000 5.312
ATOMIC_POSITIONS crystal
Zr 0.167 0.168 0.088
Zr 0.168 0.167 0.588
Zr 0.832 0.833 0.412
Zr 0.833 0.832 0.912
Nb 0.496 0.504 0.250
Nb 0.504 0.496 0.750
H 0.117 0.883 0.750
H 0.283 0.463 0.396
H 0.463 0.283 0.896
H 0.537 0.717 0.104
H 0.717 0.537 0.604
H 0.883 0.117 0.250
! E = -6.50 eV per atom
! Size of the total moment = 0.0 μB/cell
! V = 11.706 Å³/atom



! CdFe2P | Alexandria via LeMat-Bulk | PBE | optimized geometry; values from VASP
&SYSTEM
  ibrav = 0, nat = 16, ntyp = 3
/
ATOMIC_SPECIES
Cd 112.41 Cd.upf
Fe 55.84 Fe.upf
P 30.97 P.upf
CELL_PARAMETERS angstrom
6.112 0.000 0.000
0.000 6.112 0.000
0.000 0.000 6.112
ATOMIC_POSITIONS crystal
Cd 0.000 0.000 0.000
Cd 0.000 0.500 0.500
Cd 0.500 0.000 0.500
Cd 0.500 0.500 0.000
Fe 0.000 0.000 0.500
Fe 0.000 0.500 0.000
Fe 0.250 0.250 0.250
Fe 0.250 0.750 0.750
Fe 0.500 0.000 0.000
Fe 0.500 0.500 0.500
Fe 0.750 0.250 0.750
Fe 0.750 0.750 0.250
P 0.250 0.250 0.750
P 0.250 0.750 0.250
P 0.750 0.250 0.250
P 0.750 0.750 0.750
! Energy relative to the elements = 497.0 meV per atom
! Polymorph energy (0 for the lowest one) = 530 meV per atom
! Size of the total moment = 18.1 μB/cell
! V = 14.271 Å³/atom



! Cs2EuAuCl6 | Alexandria via LeMat-Bulk | PBE | optimized geometry; values from VASP
&SYSTEM
  ibrav = 0, nat = 10, ntyp = 4
/
ATOMIC_SPECIES
Cs 132.91 Cs.upf
Eu 151.96 Eu.upf
Au 196.97 Au.upf
Cl 35.45 Cl.upf
CELL_PARAMETERS angstrom
0.000 5.448 5.448
5.448 0.000 5.448
5.448 5.448 0.000
ATOMIC_POSITIONS crystal
Cs 0.250 0.250 0.250
Cs 0.750 0.750 0.750
Eu 0.000 0.000 0.000
Au 0.500 0.500 0.500
Cl 0.253 0.253 0.747
Cl 0.253 0.747 0.253
Cl 0.253 0.747 0.747
Cl 0.747 0.253 0.253
Cl 0.747 0.253 0.747
Cl 0.747 0.747 0.253
! Size of the total moment = 6.0 μB/cell
! Formation energy from raw total energies = -1601 meV/atom
! V = 32.347 Å³/atom



Question: Number 1 is which compound?
Answer: Zr2NbH3



Question: Look up the V of the third one.
Answer: 32.347 Å³/atom